First-principles (PBE+U) data for a relaxed CrTcF3 crystal, as listed in the Alexandria database.

Unit cell a=4.314 b=4.314 c=4.314 alpha=90.00 beta=90.00 gamma=90.00
Each line ends with the local moment (μB).
Atoms (fractional coordinates):
F  0.000  0.500  0.000  0.09
F  0.000  0.000  0.500  0.07
F  0.500  0.000  0.000  0.11
Tc  0.000  0.000  0.000  2.86
Cr  0.500  0.500  0.500  4.68

Properties
density	4.28	g/cm3
VASP energy	-5.6771	eV/atom